No. 1
Here is a crystal of Mn3Au relaxed with PBEsol from Alexandria via LeMat-Bulk. Energies are from meta-GGA SCAN.

## Properties
DFT total energy: -124.61 eV/f.u.
E_form: -0.17 eV per atom

abc: 2.6524 3.6045 5.3711
angles: 90.00 90.00 90.00
With the nearest neighbours (Å) after each atom.
Sites, in units of the cell vectors:
Mn1 0.0000 0.0000 0.0000  10 Mn 2.54-2.65, 2 Au 2.69
Mn2 0.5000 0.5000 0.2250  7 Mn 2.42-2.65, 4 Au 2.68
Mn3 0.5000 0.5000 0.7750  7 Mn 2.42-2.65, 4 Au 2.68
Au1 0.0000 0.0000 0.5000  2 Au 2.65, 10 Mn 2.68-2.69

No. 2
Here is a crystal of Mn2Au5 relaxed with PBEsol from Alexandria via LeMat-Bulk. Energies are from meta-GGA SCAN.

## Properties
DFT total energy: -384.86 eV/f.u.
E_form: -0.37 eV per atom

abc: 4.9308 4.9308 6.4824
angles: 96.61 96.61 46.06
With the nearest neighbours (Å) after each atom.
Sites, in units of the cell vectors:
Mn1 0.0758 0.0758 0.2182  11 Au 2.78-2.89, 1 Mn 2.99
Mn2 0.9242 0.9242 0.7818  11 Au 2.78-2.89, 1 Mn 2.99
Au1 0.2138 0.2138 0.6451  4 Mn 2.78-2.89, 8 Au 2.81-2.90
Au2 0.3627 0.3627 0.0679  7 Au 2.75-2.92, 5 Mn 2.78-2.89
Au3 0.5000 0.5000 0.5000  4 Mn 2.80, 8 Au 2.81-2.92
Au4 0.6373 0.6373 0.9321  7 Au 2.75-2.92, 5 Mn 2.78-2.89
Au5 0.7862 0.7862 0.3549  4 Mn 2.78-2.89, 8 Au 2.81-2.90

No. 3
Here is a crystal of MnAu3 relaxed with PBEsol from Alexandria via LeMat-Bulk. Energies are from meta-GGA SCAN.

## Properties
DFT total energy: -226.96 eV/f.u.
E_form: -0.31 eV per atom

abc: 3.2956 3.2956 5.9914
angles: 90.00 90.00 90.00
With the nearest neighbours (Å) after each atom.
Sites, in units of the cell vectors:
Mn1 0.0000 0.0000 0.0000  10 Au 2.73-3.00
Au1 0.0000 0.0000 0.5000  8 Au 2.81, 2 Mn 3.00
Au2 0.5000 0.5000 0.2370  4 Mn 2.73, 5 Au 2.81-2.84
Au3 0.5000 0.5000 0.7630  4 Mn 2.73, 5 Au 2.81-2.84

No. 4
Here is a crystal of MnAu relaxed with PBEsol from Alexandria via LeMat-Bulk. Energies are from meta-GGA SCAN.

## Properties
DFT total energy: -88.37 eV/f.u.
E_form: -0.48 eV per atom

abc: 3.1124 3.1124 3.2280
angles: 90.00 90.00 90.00
With the nearest neighbours (Å) after each atom.
Sites, in units of the cell vectors:
Mn1 0.0000 0.0000 0.0000  8 Au 2.73
Au1 0.5000 0.5000 0.5000  8 Mn 2.73

No. 5
Here is a crystal of MnAu3 relaxed with PBEsol from Alexandria via LeMat-Bulk. Energies are from meta-GGA SCAN.

## Properties
DFT total energy: -227.01 eV/f.u.
E_form: -0.32 eV per atom

abc: 4.9181 4.9181 4.9181
angles: 131.76 131.76 70.60
With the nearest neighbours (Å) after each atom.
Sites, in units of the cell vectors:
Mn1 0.0000 0.0000 0.0000  12 Au 2.84
Au1 0.2500 0.7500 0.5000  4 Mn 2.84, 8 Au 2.84
Au2 0.5000 0.5000 0.0000  8 Au 2.84, 4 Mn 2.84
Au3 0.7500 0.2500 0.5000  4 Mn 2.84, 8 Au 2.84

No. 6
Here is a crystal of MnAu5 relaxed with PBEsol from Alexandria via LeMat-Bulk. Energies are from meta-GGA SCAN.

## Properties
DFT total energy: -365.23 eV/f.u.
E_form: -0.20 eV per atom

abc: 4.9162 4.9162 4.7262
angles: 90.00 90.00 120.00
With the nearest neighbours (Å) after each atom.
Sites, in units of the cell vectors:
Mn1 0.0000 0.0000 0.0000  12 Au 2.84-2.86
Au1 0.0000 0.3271 0.5000  10 Au 2.79-2.88, 2 Mn 2.86
Au2 0.3271 0.0000 0.5000  10 Au 2.79-2.88, 2 Mn 2.86
Au3 0.3333 0.6667 0.0000  3 Mn 2.84, 9 Au 2.84-2.88
Au4 0.6667 0.3333 0.0000  3 Mn 2.84, 9 Au 2.84-2.88
Au5 0.6729 0.6729 0.5000  10 Au 2.79-2.88, 2 Mn 2.86

No. 7
Here is a crystal of MnAu5 relaxed with PBEsol from Alexandria via LeMat-Bulk. Energies are from meta-GGA SCAN.

## Properties
DFT total energy: -365.00 eV/f.u.
E_form: -0.16 eV per atom

abc: 4.7256 7.4913 7.4913
angles: 21.94 90.00 90.00
With the nearest neighbours (Å) after each atom.
Sites, in units of the cell vectors:
Mn1 0.0000 0.0000 0.0000  10 Au 2.77-2.88, 2 Mn 2.85
Au1 0.0000 0.3384 0.3384  2 Mn 2.77, 10 Au 2.85-2.96
Au2 0.0000 0.6621 0.6621  2 Mn 2.78, 10 Au 2.83-2.96
Au3 0.5000 0.2251 0.2251  12 Au 2.85-2.91
Au4 0.5000 0.5567 0.5567  8 Au 2.79-2.86, 4 Mn 2.88
Au5 0.5000 0.8934 0.8934  10 Au 2.79-2.88, 2 Mn 2.84

No. 8
Here is a crystal of Mn3Au relaxed with PBEsol from Alexandria via LeMat-Bulk. Energies are from meta-GGA SCAN.

## Properties
DFT total energy: -123.44 eV/f.u.
E_form: 0.12 eV per atom

abc: 8.5707 8.5707 8.5707
angles: 17.53 17.53 17.53
With the nearest neighbours (Å) after each atom.
Sites, in units of the cell vectors:
Mn1 0.0000 0.0000 0.0000  12 Mn 2.42-2.61
Mn2 0.2584 0.2584 0.2584  9 Mn 2.42-2.61
Mn3 0.7416 0.7416 0.7416  9 Mn 2.42-2.61
Au1 0.5000 0.5000 0.5000  6 Au 2.61, 6 Mn 2.77

No. 9
Here is a crystal of Mn3Au2 relaxed with PBEsol from Alexandria via LeMat-Bulk. Energies are from meta-GGA SCAN.

## Properties
DFT total energy: -192.31 eV/f.u.
E_form: 0.15 eV per atom

abc: 10.9124 10.9124 10.9124
angles: 14.29 14.29 14.29
With the nearest neighbours (Å) after each atom.
Sites, in units of the cell vectors:
Mn1 0.0000 0.0000 0.0000  6 Mn 2.72, 6 Au 2.76
Mn2 0.1920 0.1920 0.1920  3 Mn 2.27
Mn3 0.8080 0.8080 0.8080  3 Mn 2.27
Au1 0.4034 0.4034 0.4034  6 Au 2.72, 6 Mn 2.76-2.79
Au2 0.5966 0.5966 0.5966  6 Au 2.72, 6 Mn 2.76-2.79

No. 10
Here is a crystal of MnAu5 relaxed with PBEsol from Alexandria via LeMat-Bulk. Energies are from meta-GGA SCAN.

## Properties
DFT total energy: -365.32 eV/f.u.
E_form: -0.21 eV per atom

abc: 4.9677 4.9677 5.7917
angles: 106.87 106.87 46.90
With the nearest neighbours (Å) after each atom.
Sites, in units of the cell vectors:
Mn1 0.0000 0.0000 0.0000  12 Au 2.81-2.90
Au1 0.0000 0.0000 0.5000  10 Au 2.83-2.93, 2 Mn 2.90
Au2 0.3339 0.3339 0.1622  9 Au 2.82-2.95, 3 Mn 2.83-2.89
Au3 0.3387 0.3387 0.6743  2 Mn 2.81, 10 Au 2.83-2.95
Au4 0.6613 0.6613 0.3257  2 Mn 2.81, 10 Au 2.83-2.95
Au5 0.6661 0.6661 0.8378  9 Au 2.82-2.95, 3 Mn 2.83-2.89

No. 11
Here is a crystal of MnAu3 relaxed with PBEsol from Alexandria via LeMat-Bulk. Energies are from meta-GGA SCAN.

## Properties
DFT total energy: -226.81 eV/f.u.
E_form: -0.27 eV per atom

abc: 4.0362 4.0362 4.0362
angles: 90.00 90.00 90.00
With the nearest neighbours (Å) after each atom.
Sites, in units of the cell vectors:
Mn1 0.0000 0.0000 0.0000  12 Au 2.85
Au1 0.0000 0.5000 0.5000  4 Mn 2.85, 8 Au 2.85
Au2 0.5000 0.0000 0.5000  4 Mn 2.85, 8 Au 2.85
Au3 0.5000 0.5000 0.0000  4 Mn 2.85, 8 Au 2.85

No. 12
Here is a crystal of Mn9Au31 relaxed with PBEsol from Alexandria via LeMat-Bulk. Energies are from meta-GGA SCAN.

## Properties
DFT total energy: -2320.24 eV/f.u.
E_form: -0.30 eV per atom

abc: 12.7806 12.7806 3.9845
angles: 90.00 90.00 90.00
With the nearest neighbours (Å) after each atom.
Sites, in units of the cell vectors:
Mn1 0.0000 0.0000 0.0000  12 Au 2.82-2.87
Mn2 0.0499 0.3485 0.5000  12 Au 2.80-2.87
Mn3 0.2981 0.6017 0.0000  12 Au 2.79-2.89
Mn4 0.3485 0.9501 0.5000  12 Au 2.80-2.87
Mn5 0.3983 0.2981 0.0000  12 Au 2.79-2.89
Mn6 0.6017 0.7019 0.0000  12 Au 2.79-2.89
Mn7 0.6515 0.0499 0.5000  12 Au 2.80-2.87
Mn8 0.7019 0.3983 0.0000  12 Au 2.79-2.89
Mn9 0.9501 0.6515 0.5000  12 Au 2.80-2.87
Au1 0.0000 0.5000 0.0000  8 Au 2.82-2.85, 4 Mn 2.85
Au2 0.0480 0.8511 0.5000  9 Au 2.82-2.94, 3 Mn 2.82-2.84
Au3 0.0983 0.2018 0.0000  3 Mn 2.80-2.87, 9 Au 2.82-2.92
Au4 0.0989 0.6975 0.0000  3 Mn 2.82-2.83, 9 Au 2.82-2.92
Au5 0.1489 0.0480 0.5000  9 Au 2.82-2.94, 3 Mn 2.82-2.84
Au6 0.1500 0.5492 0.5000  8 Au 2.83-2.86, 4 Mn 2.83-2.87
Au7 0.1994 0.4003 0.0000  8 Au 2.82-2.86, 4 Mn 2.84-2.87
Au8 0.2018 0.9017 0.0000  3 Mn 2.80-2.87, 9 Au 2.82-2.92
Au9 0.2522 0.2534 0.5000  3 Mn 2.79-2.86, 9 Au 2.82-2.94
Au10 0.2534 0.7478 0.5000  3 Mn 2.79-2.86, 9 Au 2.82-2.94
Au11 0.3025 0.0989 0.0000  3 Mn 2.82-2.83, 9 Au 2.82-2.92
Au12 0.3510 0.4523 0.5000  8 Au 2.82-2.86, 4 Mn 2.84-2.87
Au13 0.4003 0.8006 0.0000  8 Au 2.82-2.86, 4 Mn 2.84-2.87
Au14 0.4508 0.1500 0.5000  8 Au 2.83-2.86, 4 Mn 2.83-2.87
Au15 0.4523 0.6490 0.5000  8 Au 2.82-2.86, 4 Mn 2.84-2.87
Au16 0.5000 0.0000 0.0000  8 Au 2.82-2.85, 4 Mn 2.85
Au17 0.5000 0.5000 0.0000  8 Au 2.82, 4 Mn 2.89
Au18 0.5477 0.3510 0.5000  8 Au 2.82-2.86, 4 Mn 2.84-2.87
Au19 0.5492 0.8500 0.5000  8 Au 2.83-2.86, 4 Mn 2.83-2.87
Au20 0.5997 0.1994 0.0000  8 Au 2.82-2.86, 4 Mn 2.84-2.87
Au21 0.6490 0.5477 0.5000  8 Au 2.82-2.86, 4 Mn 2.84-2.87
Au22 0.6975 0.9011 0.0000  3 Mn 2.82-2.83, 9 Au 2.82-2.92
Au23 0.7466 0.2522 0.5000  3 Mn 2.79-2.86, 9 Au 2.82-2.94
Au24 0.7478 0.7466 0.5000  3 Mn 2.79-2.86, 9 Au 2.82-2.94
Au25 0.7982 0.0983 0.0000  3 Mn 2.80-2.87, 9 Au 2.82-2.92
Au26 0.8006 0.5997 0.0000  8 Au 2.82-2.86, 4 Mn 2.84-2.87
Au27 0.8500 0.4508 0.5000  8 Au 2.83-2.86, 4 Mn 2.83-2.87
Au28 0.8511 0.9520 0.5000  9 Au 2.82-2.94, 3 Mn 2.82-2.84
Au29 0.9011 0.3025 0.0000  3 Mn 2.82-2.83, 9 Au 2.82-2.92
Au30 0.9017 0.7982 0.0000  3 Mn 2.80-2.87, 9 Au 2.82-2.92
Au31 0.9520 0.1489 0.5000  9 Au 2.82-2.94, 3 Mn 2.82-2.84